Sr2MnZnO4 (PBE with a Hubbard U, optimized geometry); total magnetization = 3.00 μB/f.u.; calculated density = 5.1 Mg/m³; total DFT energy (no corrections) = -46.9 eV per cell
1.0
-2.9812 2.9812 3.2674
2.9812 -2.9812 3.2674
2.9812 2.9812 -3.2674
Sr Mn Zn O
2 1 1 4
direct
0.0000 0.0000 0.0000
0.7500 0.2500 0.5000
0.2500 0.7500 0.5000
0.5000 0.5000 0.0000
0.1492 0.5291 0.0593
0.4698 0.0899 0.9407
0.4709 0.5302 0.6200
0.9101 0.8508 0.3800